An optimized crystal structure of Hf5Zr2Fe2. Source: Alexandria via LeMat-Bulk, functional GGA-PBE.

Cell and atoms, written as CIF:
```
data_Hf5Zr2Fe2
_cell_length_a 18.303
_cell_length_b 6.375
_cell_length_c 6.230
_cell_angle_alpha 90.00
_cell_angle_beta 90.00
_cell_angle_gamma 90.00
_symmetry_space_group_name_H-M 'C m c e'
_symmetry_Int_Tables_number 64
_symmetry_space_group_name_Hall '-C 2ac 2'
loop_
_atom_site_label
_atom_site_type_symbol
_atom_site_fract_x
_atom_site_fract_y
_atom_site_fract_z
_atom_site_occupancy
Hf1 Hf 0.000 0.000 0.000 1
Hf2 Hf 0.116 0.186 0.313 1
Zr1 Zr 0.237 0.000 0.000 1
Fe1 Fe 0.000 0.123 0.616 1
```

The calculation puts the spin magnetization at 0.001 μB/cell. The formation enthalpy at 0 K is 0.013 eV/atom.